Entry 1:
{"formula": "Th6Tc2C", "functional": "PBE", "state": "optimized geometry", "density_g_cm3": 11.36, "energy_ev_per_atom": -8.466, "cell": [[-2.5988, -4.3760, -4.0191], [6.5727, -2.7657, -1.2387], [-1.3589, -6.5437, 7.3998]], "species": ["Tc", "Tc", "Tc", "Th", "Th", "Th", "Th", "Th", "Th", "C", "C", "Th", "Th", "Tc", "Th", "Th", "Th", "Th"], "fractional_positions": [[0.5512, 0.8820, 0.2662], [0.4488, 0.1180, 0.7338], [0.0512, 0.6180, 0.7662], [0.3377, 0.8180, 0.9347], [0.8218, 0.6752, 0.0621], [0.6782, 0.1752, 0.4379], [0.3537, 0.5463, 0.2439], [0.3218, 0.8248, 0.5621], [0.1623, 0.3180, 0.5653], [0.5000, 0.5000, 0.0000], [0.0000, 0.0000, 0.5000], [0.1463, 0.0463, 0.2561], [0.8377, 0.6820, 0.4347], [0.9488, 0.3820, 0.2338], [0.1782, 0.3248, 0.9379], [0.6463, 0.4537, 0.7561], [0.6623, 0.1820, 0.0653], [0.8537, 0.9537, 0.7439]]}

---

Entry 2:
{"formula": "ThTi2TcC4", "functional": "PBE", "state": "optimized geometry", "density_g_cm3": 7.62, "energy_ev_per_atom": -9.075, "cell": [[3.2898, 0.0000, 0.0000], [-1.6449, 5.7620, 0.0000], [0.0000, 0.0000, 10.8910]], "species": ["Tc", "Ti", "Ti", "C", "Th", "C", "C", "C", "C", "C", "C", "Ti", "Th", "Tc", "Ti", "C"], "fractional_positions": [[0.1652, 0.3303, 0.2500], [0.6257, 0.2515, 0.4603], [0.3743, 0.7485, 0.5397], [0.0000, 0.0000, 0.0000], [0.9020, 0.8040, 0.2500], [0.7359, 0.4717, 0.6087], [0.0000, 0.0000, 0.5000], [0.4334, 0.8669, 0.7500], [0.5666, 0.1331, 0.2500], [0.2641, 0.5283, 0.3913], [0.2641, 0.5283, 0.1087], [0.6257, 0.2515, 0.0397], [0.0980, 0.1960, 0.7500], [0.8348, 0.6697, 0.7500], [0.3743, 0.7485, 0.9603], [0.7359, 0.4717, 0.8913]]}

---

Entry 3:
{"formula": "TmTh2TcC4", "functional": "PBE", "state": "optimized geometry", "density_g_cm3": 9.43, "energy_ev_per_atom": -8.285, "cell": [[3.5956, 0.0000, 0.0000], [-1.7978, 5.9904, 0.0000], [0.0000, 0.0000, 12.7314]], "species": ["C", "C", "Th", "Th", "C", "Tc", "C", "Th", "Tm", "Th", "C", "C", "C", "Tm", "Tc", "C"], "fractional_positions": [[0.2693, 0.5386, 0.3621], [0.7307, 0.4614, 0.8621], [0.3660, 0.7319, 0.9604], [0.6340, 0.2681, 0.4604], [0.0000, 0.0000, 0.5000], [0.8381, 0.6762, 0.7500], [0.2693, 0.5386, 0.1379], [0.6340, 0.2681, 0.0396], [0.1073, 0.2147, 0.7500], [0.3660, 0.7319, 0.5396], [0.0000, 0.0000, 0.0000], [0.5769, 0.1538, 0.2500], [0.7307, 0.4614, 0.6379], [0.8927, 0.7853, 0.2500], [0.1619, 0.3238, 0.2500], [0.4231, 0.8462, 0.7500]]}

---

Entry 4:
{"formula": "ThUTcC3", "functional": "PBE", "state": "optimized geometry", "density_g_cm3": 9.82, "energy_ev_per_atom": -9.430, "cell": [[3.6070, 0.0000, 0.0000], [0.0000, 7.1850, 0.8775], [0.0000, -1.9090, 7.6496]], "species": ["C", "Tc", "Tc", "C", "C", "C", "Th", "C", "U", "U", "C", "Th"], "fractional_positions": [[0.2500, 0.8279, 0.4871], [0.7500, 0.8955, 0.4043], [0.2500, 0.1045, 0.5957], [0.7500, 0.4204, 0.1215], [0.7500, 0.1721, 0.5129], [0.2500, 0.5796, 0.8785], [0.7500, 0.8424, 0.8272], [0.7500, 0.8678, 0.1436], [0.7500, 0.3586, 0.8343], [0.2500, 0.6414, 0.1657], [0.2500, 0.1322, 0.8564], [0.2500, 0.1576, 0.1728]]}

---

Entry 5:
{"formula": "YTh2TcC4", "functional": "PBE", "state": "optimized geometry", "density_g_cm3": 8.33, "energy_ev_per_atom": -8.566, "cell": [[3.6287, 0.0000, 0.0000], [-1.8143, 6.0377, 0.0000], [0.0000, 0.0000, 12.7219]], "species": ["C", "Th", "Tc", "Y", "Tc", "Th", "Th", "Y", "C", "C", "Th", "C", "C", "C", "C", "C"], "fractional_positions": [[0.2682, 0.5364, 0.3643], [0.3669, 0.7339, 0.9590], [0.1651, 0.3301, 0.2500], [0.1031, 0.2062, 0.7500], [0.8349, 0.6699, 0.7500], [0.6331, 0.2661, 0.4590], [0.6331, 0.2661, 0.0410], [0.8969, 0.7938, 0.2500], [0.7318, 0.4636, 0.6357], [0.4180, 0.8360, 0.7500], [0.3669, 0.7339, 0.5410], [0.2682, 0.5364, 0.1357], [0.5820, 0.1640, 0.2500], [0.0000, 0.0000, 0.0000], [0.0000, 0.0000, 0.5000], [0.7318, 0.4636, 0.8643]]}

---

Entry 6:
{"formula": "ThZr2TcC4", "functional": "PBE", "state": "optimized geometry", "density_g_cm3": 8.04, "energy_ev_per_atom": -9.328, "cell": [[3.4003, 0.0000, 0.0000], [-1.7002, 5.9042, 0.0000], [0.0000, 0.0000, 11.5260]], "species": ["Zr", "Tc", "Th", "C", "C", "Zr", "Tc", "Zr", "C", "Zr", "C", "Th", "C", "C", "C", "C"], "fractional_positions": [[0.6297, 0.2593, 0.0403], [0.1627, 0.3253, 0.2500], [0.0986, 0.1972, 0.7500], [0.7360, 0.4720, 0.8807], [0.2640, 0.5280, 0.1193], [0.6297, 0.2593, 0.4597], [0.8373, 0.6747, 0.7500], [0.3703, 0.7407, 0.5403], [0.2640, 0.5280, 0.3807], [0.3703, 0.7407, 0.9597], [0.5668, 0.1335, 0.2500], [0.9014, 0.8028, 0.2500], [0.4332, 0.8665, 0.7500], [0.7360, 0.4720, 0.6193], [0.0000, 0.0000, 0.5000], [0.0000, 0.0000, 0.0000]]}

---

Entry 7:
{"formula": "TiTc2C", "functional": "PBE", "state": "optimized geometry", "density_g_cm3": 7.93, "energy_ev_per_atom": -9.542, "cell": [[-5.1148, -4.3402, -1.7999], [4.6832, -4.9244, -1.4339], [-0.3373, -5.3582, 0.4789]], "species": ["Ti", "Tc", "C", "C", "Ti", "Tc", "Tc", "Tc"], "fractional_positions": [[0.7500, 0.2500, 0.5000], [0.2379, 0.6250, 0.2500], [0.5000, 0.5000, 0.0000], [0.2500, 0.7500, 0.5000], [0.0000, 0.0000, 0.0000], [0.5121, 0.1250, 0.2500], [0.3750, 0.4879, 0.7500], [0.8750, 0.7621, 0.7500]]}

---

Entry 8:
{"formula": "TiTc3C", "functional": "PBE", "state": "optimized geometry", "density_g_cm3": 8.65, "energy_ev_per_atom": -9.751, "relative_energy_mev_per_atom": 0, "cell": [[4.0800, 0.0000, 0.0000], [0.0000, 4.0800, 0.0000], [0.0000, 0.0000, 4.0800]], "species": ["Ti", "Tc", "Tc", "Tc", "C"], "fractional_positions": [[0.5000, 0.5000, 0.5000], [0.0000, 0.0000, 0.5000], [0.0000, 0.5000, 0.0000], [0.5000, 0.0000, 0.0000], [0.0000, 0.0000, 0.0000]]}

---

Entry 9:
{"formula": "Ti3TcC", "functional": "PBE", "state": "optimized geometry", "density_g_cm3": 5.89, "energy_ev_per_atom": -8.980, "relative_energy_mev_per_atom": 0, "cell": [[4.1510, 0.0000, 0.0000], [0.0000, 4.1510, 0.0000], [0.0000, 0.0000, 4.1510]], "species": ["Ti", "Tc", "Ti", "C", "Ti"], "fractional_positions": [[0.5000, 0.0000, 0.0000], [0.5000, 0.5000, 0.5000], [0.0000, 0.5000, 0.0000], [0.0000, 0.0000, 0.0000], [0.0000, 0.0000, 0.5000]]}

---

Entry 10:
{"formula": "Ti2TcC", "functional": "PBE", "state": "optimized geometry", "density_g_cm3": 6.60, "energy_ev_per_atom": -9.312, "cell": [[-2.1422, -1.3727, 1.6483], [-2.1354, -1.6596, -1.3696], [2.3460, -6.2848, 0.6026]], "species": ["Ti", "Tc", "Ti", "C"], "fractional_positions": [[0.7295, 0.7295, 0.8116], [0.5000, 0.5000, 0.5000], [0.2705, 0.2705, 0.1884], [0.0000, 0.0000, 0.0000]]}

---

Entry 11:
{"formula": "Ti2TcC2", "functional": "PBE", "state": "optimized geometry", "density_g_cm3": 6.84, "energy_ev_per_atom": -9.378, "cell": [[-1.5117, -2.6735, -4.9716], [4.9954, 1.7632, -2.4671], [1.3928, -2.5898, 0.9692]], "species": ["Ti", "Ti", "C", "Ti", "Tc", "C", "Ti", "C", "Tc", "C"], "fractional_positions": [[0.6590, 0.8410, 0.5000], [0.1590, 0.6590, 0.5000], [0.1491, 0.3509, 0.0000], [0.8410, 0.3410, 0.5000], [0.5000, 0.5000, 0.0000], [0.8509, 0.6491, 0.0000], [0.3410, 0.1590, 0.5000], [0.3509, 0.8509, 0.0000], [0.0000, 0.0000, 0.0000], [0.6491, 0.1491, 0.0000]]}

---

Entry 12:
{"formula": "Ti2TcC", "functional": "PBE", "state": "optimized geometry", "density_g_cm3": 5.98, "energy_ev_per_atom": -8.899, "cell": [[-5.8881, -2.8383, 3.3544], [2.9782, -6.7017, -0.4429], [-0.5248, -4.4808, 3.3333]], "species": ["Ti", "Ti", "C", "Ti", "Tc", "Ti", "C", "Tc"], "fractional_positions": [[0.2528, 0.6250, 0.2500], [0.8750, 0.7472, 0.7500], [0.2500, 0.7500, 0.5000], [0.3750, 0.5028, 0.7500], [0.0000, 0.0000, 0.0000], [0.4972, 0.1250, 0.2500], [0.5000, 0.5000, 0.0000], [0.7500, 0.2500, 0.5000]]}

---

Entry 13:
{"formula": "TiTcC", "functional": "PBE", "state": "optimized geometry", "density_g_cm3": 7.12, "energy_ev_per_atom": -9.605, "cell": [[-1.6808, -1.0947, -2.2136], [-3.2061, -2.3006, 3.5721], [-0.1874, 5.5065, -0.5652]], "species": ["C", "Tc", "Ti", "C", "Ti", "Tc"], "fractional_positions": [[0.7461, 0.7528, 0.4922], [0.3659, 0.6981, 0.7318], [0.8823, 0.2025, 0.7645], [0.2539, 0.2472, 0.5078], [0.1177, 0.7975, 0.2355], [0.6341, 0.3019, 0.2682]]}

---

Entry 14:
{"formula": "TiTc3C", "functional": "PBE", "state": "optimized geometry", "density_g_cm3": 8.56, "energy_ev_per_atom": -9.493, "relative_energy_mev_per_atom": 258, "cell": [[4.2080, 0.0000, 0.0000], [-2.1040, 4.7493, 0.4763], [0.0000, 0.1001, 6.8761]], "species": ["Tc", "Ti", "Tc", "Tc", "C", "C", "Tc", "Tc", "Ti", "Tc"], "fractional_positions": [[0.8665, 0.7330, 0.4473], [0.6127, 0.2255, 0.3282], [0.6765, 0.3529, 0.9093], [0.3235, 0.6471, 0.0907], [0.1812, 0.3623, 0.8572], [0.8188, 0.6377, 0.1428], [0.9534, 0.9068, 0.8422], [0.1335, 0.2670, 0.5527], [0.3873, 0.7745, 0.6718], [0.0466, 0.0932, 0.1578]]}

---

Entry 15:
{"formula": "Ti3TcC", "functional": "PBE", "state": "optimized geometry", "density_g_cm3": 4.21, "energy_ev_per_atom": -6.993, "relative_energy_mev_per_atom": 1987, "cell": [[-3.4508, 0.2804, 3.0924], [-1.8901, -3.8577, -1.7593], [2.4636, -2.5669, 2.9819]], "species": ["Ti", "Ti", "Tc", "Ti", "C"], "fractional_positions": [[0.5000, 0.0000, 0.0000], [0.0000, 0.0000, 0.5000], [0.0000, 0.0000, 0.0000], [0.0000, 0.5000, 0.0000], [0.5000, 0.5000, 0.5000]]}

---

Entry 16:
{"formula": "TiTc3C", "functional": "PBE", "state": "optimized geometry", "density_g_cm3": 6.45, "energy_ev_per_atom": -6.935, "relative_energy_mev_per_atom": 2816, "cell": [[-1.5272, 0.0314, -4.2322], [1.2138, -4.3071, -0.4699], [-4.0545, -1.3012, 1.4534]], "species": ["Tc", "C", "Tc", "Tc", "Ti"], "fractional_positions": [[0.0000, 0.5000, 0.0000], [0.5000, 0.5000, 0.5000], [0.0000, 0.0000, 0.5000], [0.5000, 0.0000, 0.0000], [0.0000, 0.0000, 0.0000]]}

---

Entry 17:
{"formula": "TiTc2C", "functional": "PBE", "state": "optimized geometry", "density_g_cm3": 8.39, "energy_ev_per_atom": -9.835, "cell": [[-2.9794, 0.3580, -0.4348], [-0.3797, -3.0056, 0.1273], [-1.5110, 0.6524, 10.8965]], "species": ["Tc", "C", "Tc", "Tc", "Ti", "C", "Ti", "Tc"], "fractional_positions": [[0.2504, 0.3369, 0.9172], [0.2499, 0.3360, 0.4017], [0.7502, 0.8367, 0.7842], [0.7496, 0.8369, 0.0828], [0.7499, 0.8360, 0.4058], [0.7501, 0.8360, 0.5983], [0.2501, 0.3360, 0.5942], [0.2498, 0.3367, 0.2158]]}

---

Entry 18:
{"formula": "Ti2ZnTcC", "functional": "PBE", "state": "optimized geometry", "density_g_cm3": 6.41, "energy_ev_per_atom": -7.669, "cell": [[4.1920, 0.0000, 0.0000], [0.0000, 4.1920, 0.0000], [0.0000, 0.0000, 3.9971]], "species": ["Tc", "Ti", "Zn", "C", "Ti"], "fractional_positions": [[0.0000, 0.0000, 0.5000], [0.0000, 0.5000, 0.0000], [0.5000, 0.5000, 0.5000], [0.0000, 0.0000, 0.0000], [0.5000, 0.0000, 0.0000]]}

---

Entry 19:
{"formula": "Tl3TcC", "functional": "PBE", "state": "optimized geometry", "density_g_cm3": 7.96, "energy_ev_per_atom": -3.616, "relative_energy_mev_per_atom": 68, "cell": [[-3.2562, -3.5017, -2.3403], [4.1966, -2.4469, -2.1778], [0.3568, -3.1769, 4.2569]], "species": ["Tc", "Tl", "Tl", "C", "Tl"], "fractional_positions": [[0.0000, 0.0000, 0.0000], [0.0000, 0.0000, 0.5000], [0.0000, 0.5000, 0.0000], [0.5000, 0.5000, 0.5000], [0.5000, 0.0000, 0.0000]]}

---

Entry 20:
{"formula": "TlTcC2", "functional": "PBE", "state": "optimized geometry", "density_g_cm3": 6.61, "energy_ev_per_atom": -6.824, "relative_energy_mev_per_atom": 0, "cell": [[5.8426, 0.0000, 0.0000], [0.0000, 5.8426, 0.0000], [2.9213, 2.9213, 4.8061]], "species": ["C", "Tc", "Tl", "C", "C", "Tc", "C", "Tl"], "fractional_positions": [[0.3750, 0.6210, 0.7500], [0.5000, 0.5000, 0.0000], [0.7500, 0.2500, 0.5000], [0.3710, 0.6250, 0.2500], [0.3790, 0.1250, 0.2500], [0.2500, 0.7500, 0.5000], [0.8750, 0.6290, 0.7500], [0.0000, 0.0000, 0.0000]]}

---

Entry 21:
{"formula": "TlTcC3", "functional": "PBE", "state": "optimized geometry", "density_g_cm3": 7.47, "energy_ev_per_atom": -4.176, "relative_energy_mev_per_atom": 2086, "cell": [[4.2206, 0.0000, 0.0000], [0.0000, 4.2206, 0.0000], [0.0000, 0.0000, 4.2206]], "species": ["Tc", "C", "C", "Tl", "C"], "fractional_positions": [[0.5000, 0.5000, 0.5000], [0.5000, 0.0000, 0.0000], [0.0000, 0.0000, 0.5000], [0.0000, 0.0000, 0.0000], [0.0000, 0.5000, 0.0000]]}

---

Entry 22:
{"formula": "TlTcC2", "functional": "PBE", "state": "optimized geometry", "density_g_cm3": 11.07, "energy_ev_per_atom": -5.452, "relative_energy_mev_per_atom": 1372, "cell": [[-3.4909, -1.2670, -1.7521], [-3.3315, 2.3989, 0.0911], [-1.3356, 1.7904, -3.4456]], "species": ["C", "C", "Tc", "Tl"], "fractional_positions": [[0.2500, 0.2500, 0.2500], [0.7500, 0.7500, 0.7500], [0.0000, 0.0000, 0.0000], [0.5000, 0.5000, 0.5000]]}

---

Entry 23:
{"formula": "TlTc2C", "functional": "PBE", "state": "optimized geometry", "density_g_cm3": 11.75, "energy_ev_per_atom": -6.325, "relative_energy_mev_per_atom": 778, "cell": [[0.0000, 3.0770, 3.0770], [3.0770, 0.0000, 3.0770], [3.0770, 3.0770, 0.0000]], "species": ["Tc", "Tl", "Tc", "C"], "fractional_positions": [[0.7500, 0.7500, 0.7500], [0.5000, 0.5000, 0.5000], [0.2500, 0.2500, 0.2500], [0.0000, 0.0000, 0.0000]]}

---

Entry 24:
{"formula": "TlTc2C", "functional": "PBE", "state": "optimized geometry", "density_g_cm3": 9.11, "energy_ev_per_atom": -7.103, "relative_energy_mev_per_atom": 0, "cell": [[5.3700, 0.0000, 0.0000], [0.0000, 5.3700, 0.0000], [2.6850, 2.6850, 5.2117]], "species": ["Tc", "C", "Tl", "Tl", "Tc", "C", "Tc", "Tc"], "fractional_positions": [[0.2776, 0.6250, 0.2500], [0.5000, 0.5000, 0.0000], [0.0000, 0.0000, 0.0000], [0.7500, 0.2500, 0.5000], [0.3750, 0.5276, 0.7500], [0.2500, 0.7500, 0.5000], [0.4724, 0.1250, 0.2500], [0.8750, 0.7224, 0.7500]]}